No. 1
DFT (PBE) results for a relaxed structure of KTe.

Results
- Total magnetic moment: 4.0 Bohr magnetons per cell
- Mass density: 2.1 Mg/m³
- E_form (uncorrected): -0.25 eV per atom

Cell and atoms, written as CIF:
```
data_KTe
_chemical_formula_sum 'K4 Te4'
_symmetry_space_group_name_H-M 'F -4 3 m'
_symmetry_Int_Tables_number 216
_symmetry_space_group_name_Hall 'F -4 2 3'
_cell_length_a 8.0427
_cell_length_b 8.0427
_cell_length_c 8.0427
_cell_angle_alpha 90.00
_cell_angle_beta 90.00
_cell_angle_gamma 90.00
loop_
_atom_site_label
_atom_site_type_symbol
_atom_site_fract_x
_atom_site_fract_y
_atom_site_fract_z
K1 K 0.0000 0.0000 0.0000
Te1 Te 0.2500 0.2500 0.7500
```



No. 2
DFT (PBE) results for a relaxed structure of KTe.

Results
- Total magnetic moment: 0.0 Bohr magnetons per cell
- Mass density: 3.4 Mg/m³
- E_form (uncorrected): -0.77 eV per atom

Cell and atoms, written as CIF:
```
data_KTe
_chemical_formula_sum 'K6 Te6'
_symmetry_space_group_name_H-M 'C m m m'
_symmetry_Int_Tables_number 65
_symmetry_space_group_name_Hall '-C 2 2'
_cell_length_a 5.5315
_cell_length_b 20.3275
_cell_length_c 4.3989
_cell_angle_alpha 90.00
_cell_angle_beta 90.00
_cell_angle_gamma 90.00
loop_
_atom_site_label
_atom_site_type_symbol
_atom_site_fract_x
_atom_site_fract_y
_atom_site_fract_z
K1 K 0.0000 0.0000 0.0000
K2 K 0.0000 0.3592 0.0000
Te1 Te 0.0000 0.2237 0.5000
Te2 Te 0.0000 0.5000 0.5000
```



No. 3
DFT (PBE) results for a relaxed structure of KTe.

Results
- Total magnetic moment: 0.0 Bohr magnetons per cell
- Mass density: 3.2 Mg/m³
- E_form (uncorrected): -0.82 eV per atom

Cell and atoms, written as CIF:
```
data_KTe
_chemical_formula_sum 'K8 Te8'
_symmetry_space_group_name_H-M 'P 21 21 21'
_symmetry_Int_Tables_number 19
_cell_length_a 6.4479
_cell_length_b 9.8729
_cell_length_c 10.7494
_cell_angle_alpha 90.00
_cell_angle_beta 90.00
_cell_angle_gamma 90.00
loop_
_symmetry_equiv_pos_as_xyz
'x,y,z'
'-x+1/2,-y,z+1/2'
'x+1/2,-y+1/2,-z'
'-x,y+1/2,-z+1/2'
loop_
_atom_site_label
_atom_site_type_symbol
_atom_site_fract_x
_atom_site_fract_y
_atom_site_fract_z
K1 K 0.0324 0.1706 0.4224
K2 K 0.1689 0.3119 0.8624
Te1 Te 0.0249 0.4917 0.5731
Te2 Te 0.2027 0.9918 0.1625
```